Entry 1:
A plane-wave DFT calculation with GGA-PBE was carried out for Tb6SbAs4 after structural relaxation.

Properties
Electronic total energy ... -5.93 eV per atom

Structure (CIF):
```
data_Tb6SbAs4
_cell_length_a 4.168
_cell_length_b 13.582
_cell_length_c 20.832
_cell_angle_alpha 90.00
_cell_angle_beta 90.00
_cell_angle_gamma 90.00
_space_group_name_H-M_alt 'C m c m'
_space_group_IT_number 63
_space_group_name_Hall '-C 2c 2'
loop_
_atom_site_label
_atom_site_fract_x
_atom_site_fract_y
_atom_site_fract_z
Tb1 0.000 0.000 0.000
Tb2 0.000 0.170 0.250
Tb3 0.000 0.272 0.582
Tb4 0.000 0.460 0.161
Sb1 0.000 0.162 0.750
As1 0.000 0.093 0.125
As2 0.000 0.363 0.042
```

---

Entry 2:
A plane-wave DFT calculation with GGA-PBE was carried out for Tb5SbAs4 after structural relaxation.

Properties
Electronic total energy ... -6.03 eV per atom

Structure (CIF):
```
data_Tb5SbAs4
_cell_length_a 13.913
_cell_length_b 4.183
_cell_length_c 10.293
_cell_angle_alpha 90.00
_cell_angle_beta 119.59
_cell_angle_gamma 90.00
_space_group_name_H-M_alt 'C 1 2/m 1'
_space_group_IT_number 12
loop_
_space_group_symop_operation_xyz
'x,y,z'
'-x,-y,-z'
'-x,y,-z'
'x,-y,z'
'x+1/2,y+1/2,z'
'-x+1/2,-y+1/2,-z'
'-x+1/2,y+1/2,-z'
'x+1/2,-y+1/2,z'
loop_
_atom_site_label
_atom_site_fract_x
_atom_site_fract_y
_atom_site_fract_z
Tb1 0.000 0.000 0.000
Tb2 0.106 0.500 0.393
Tb3 0.204 0.000 0.810
Sb1 0.000 0.000 0.500
As1 0.098 0.500 0.899
As2 0.202 0.000 0.297
```

---

Entry 3:
A plane-wave DFT calculation with GGA-PBE was carried out for Tb8SbTe4As3 after structural relaxation.

Properties
Electronic total energy ... -5.67 eV per atom

Structure (CIF):
```
data_Tb8SbTe4As3
_cell_length_a 8.5314
_cell_length_b 8.5314
_cell_length_c 21.3599
_cell_angle_alpha 90.00
_cell_angle_beta 90.00
_cell_angle_gamma 120.00
_space_group_name_H-M_alt 'R -3 m'
_space_group_IT_number 166
_space_group_name_Hall '-R 3 2"'
loop_
_atom_site_label
_atom_site_fract_x
_atom_site_fract_y
_atom_site_fract_z
Tb1 0.0000 0.0000 0.2393
Tb2 0.0119 0.5059 0.7586
Sb1 0.0000 0.0000 0.5000
Te1 0.0000 0.0000 0.0000
Te2 0.0000 0.5000 0.0000
As1 0.0000 0.5000 0.5000
```

---

Entry 4:
A plane-wave DFT calculation with GGA-PBE was carried out for Tb6Sb2Te3As after structural relaxation.

Properties
Electronic total energy ... -5.52 eV per atom

Structure (CIF):
```
data_Tb6Sb2Te3As
_cell_length_a 19.053
_cell_length_b 4.327
_cell_length_c 8.740
_cell_angle_alpha 90.00
_cell_angle_beta 103.75
_cell_angle_gamma 90.00
_space_group_name_H-M_alt 'C 1 2/m 1'
_space_group_IT_number 12
loop_
_space_group_symop_operation_xyz
'x,y,z'
'-x,-y,-z'
'-x,y,-z'
'x,-y,z'
'x+1/2,y+1/2,z'
'-x+1/2,-y+1/2,-z'
'-x+1/2,y+1/2,-z'
'x+1/2,-y+1/2,z'
loop_
_atom_site_label
_atom_site_fract_x
_atom_site_fract_y
_atom_site_fract_z
Tb1 0.001 0.000 0.225
Tb2 0.154 0.500 0.082
Tb3 0.167 0.500 0.577
Sb1 0.167 0.000 0.332
Te1 0.000 0.500 0.500
Te2 0.170 0.000 0.835
As1 0.000 0.500 0.000
```

---

In A^3/atom, the V values for the records above are, in order, 26.8; 26.0; 28.0; 29.2.
In meV per atom, the ΔE_f (raw) values for the records above are, in order, -1341.4; -1447.4; -1442.4; -1349.4.